DFT (PBE+U) results for a relaxed Sm6Co2Cl3O crystal.

SG: C2/m
uncorrected energy: -61.57 eV per cell

The structure in extended XYZ format:
```
12
Lattice="-1.484 1.815 -2.923 -6.428 -5.550 -0.182 -1.148 6.414 6.969" Properties=species:S:1:pos:R:3 pbc="T T T"
Sm -7.131 0.150 3.715
Sm -4.952 0.434 0.383
Sm -1.930 2.530 0.150
Sm -1.356 -1.025 0.052
Sm -7.705 3.705 3.812
Sm -4.108 2.246 3.481
Co -6.403 2.120 2.167
Co -2.658 0.559 1.697
Cl -3.956 -1.867 -1.552
Cl -3.059 4.775 2.117
Cl -6.002 -2.095 1.747
O -0.742 0.908 -1.461
```